## InMo2Br (PBE)

Data for InMo2Br after structural relaxation.

a b c (Å): 5.004 5.004 5.004
angles (deg): 128.82 128.82 75.29
Atoms (fractional coordinates):
Mo 0.250 0.750 0.500
Br 0.500 0.500 0.000
Mo 0.000 0.000 0.000
In 0.750 0.250 0.500

## Properties
Its formation energy without anion corrections is 0.88 eV/atom.